[1]
A plane-wave DFT calculation with PBE was carried out for a relaxed structure of AcCrCl6.

Cell lengths 7.116, 7.116, 7.116 Å; angles 54.77, 54.77, 54.77 degrees
Sites, in units of the cell vectors:
Ac: 0.000 0.000 0.000
Cr: 0.500 0.500 0.500
Cl: 0.120 0.711 0.443
Cl: 0.289 0.557 0.880
Cl: 0.443 0.120 0.711
Cl: 0.557 0.880 0.289
Cl: 0.711 0.443 0.120
Cl: 0.880 0.289 0.557

Total magnetization (μB/f.u.): 3.0
Space group: R-3 (148)
Raw formation energy (eV/atom): -1.685
Raw total energy (eV per atom): -4.787

[2]
A plane-wave DFT calculation with PBE was carried out for a relaxed structure of CsAcCrCl6.

Cell lengths 9.240, 9.240, 9.240 Å; angles 119.04, 116.69, 93.75 degrees
Sites, in units of the cell vectors:
Cs: 0.429 0.179 0.250
Cs: 0.571 0.821 0.750
Ac: 0.000 0.000 0.500
Ac: 0.000 0.500 0.000
Cr: 0.000 0.500 0.500
Cr: 0.500 0.500 0.000
Cl: 0.139 0.889 0.250
Cl: 0.149 0.399 0.750
Cl: 0.159 0.445 0.342
Cl: 0.159 0.817 0.714
Cl: 0.397 0.183 0.842
Cl: 0.397 0.555 0.214
Cl: 0.603 0.445 0.786
Cl: 0.603 0.817 0.158
Cl: 0.841 0.183 0.286
Cl: 0.841 0.555 0.658
Cl: 0.851 0.601 0.250
Cl: 0.861 0.111 0.750

Total magnetization (μB/f.u.): 4.0
Space group: Imma (74)
Raw formation energy (eV/atom): -1.818
Raw total energy (eV per atom): -4.670

[3]
A plane-wave DFT calculation with PBE was carried out for a relaxed structure of Li2AcCrCl8.

Cell lengths 6.544, 6.868, 8.066 Å; angles 67.01, 87.51, 80.23 degrees
Sites, in units of the cell vectors:
Li: 0.031 0.174 0.291
Li: 0.969 0.826 0.709
Ac: 0.500 0.500 0.500
Cr: 0.500 0.500 0.000
Cl: 0.105 0.781 0.441
Cl: 0.183 0.727 0.962
Cl: 0.362 0.299 0.862
Cl: 0.388 0.264 0.288
Cl: 0.612 0.736 0.712
Cl: 0.638 0.701 0.138
Cl: 0.817 0.273 0.038
Cl: 0.895 0.219 0.559

Total magnetization (μB/f.u.): 3.0
Space group: P-1 (2)
Raw formation energy (eV/atom): -1.726
Raw total energy (eV per atom): -4.421